{
  "formula": "NaZnAu",
  "functional": "GGA-PBE",
  "state": "optimized geometry",
  "dft_energy_ev_per_cell": -6.52,
  "sg": "P-6m2",
  "relative_energy_ev_per_atom": 0.067,
  "lattice": [[3.482, 0.000, 0.000], [0.000, 4.551, 0.000], [0.000, -2.276, 3.942]],
  "species": ["Na", "Zn", "Au"],
  "fractional_positions": [[0.667, 0.333, 0.667], [0.167, 0.667, 0.333], [0.167, 0.000, 0.000]]
}